{"formula": "Cs2ScGaSe4", "functional": "PBE-GGA", "state": "relaxed", "magnetic_moment_mub_per_fu": 0.00, "total_energy_ry_per_atom": -0.32310, "e_form_raw_ev_per_atom": -1.270, "cell": [[0.000, 7.474, 13.176], [3.097, 0.000, 13.176], [3.097, 7.474, 0.000]], "species": ["Cs", "Cs", "Cs", "Cs", "Sc", "Sc", "Ga", "Ga", "Se", "Se", "Se", "Se", "Se", "Se", "Se", "Se"], "frac_coords": [[0.054, 0.054, 0.696], [0.304, 0.304, 0.946], [0.696, 0.696, 0.054], [0.946, 0.946, 0.304], [0.125, 0.125, 0.125], [0.875, 0.875, 0.875], [0.375, 0.375, 0.375], [0.625, 0.625, 0.625], [0.008, 0.346, 0.432], [0.286, 0.568, 0.654], [0.346, 0.008, 0.714], [0.432, 0.714, 0.008], [0.568, 0.286, 0.992], [0.654, 0.992, 0.286], [0.714, 0.432, 0.346], [0.992, 0.654, 0.568]]}